Computed, not measured: a geometry-optimized Li2MgMoF8 structure at the PBE with a Hubbard U level of DFT.

N(E_F) = 0.43 states/eV per atom
Total energy = -60.8 eV for the cell shown
Space group = No. 119
Volume = 141.8 Å³/f.u.

```
Li2MgMoF8
1.0
5.676 0.409 0.000
-2.151 5.269 0.000
-1.763 -2.839 4.606
F Li Mo Mg
8 2 1 1
Direct
0.749 0.055 0.694
0.286 0.097 0.811
0.286 0.475 0.189
0.525 0.714 0.811
0.945 0.251 0.306
0.361 0.055 0.306
0.903 0.714 0.189
0.945 0.639 0.694
0.500 0.500 0.000
0.750 0.250 0.500
0.000 0.000 0.000
0.250 0.750 0.500
```